(1)
VASP calculation (GGA-PBE) on ScTl2PdC after structural relaxation.

Its formation energy is 1.692 eV per atom. Its total energy is -17.02 eV/cell. The calculation puts the density of states at the Fermi level at 3.6 states/eV/f.u.

The structure in CIF format:
```
data_ScTl2PdC
_cell_length_a 5.755
_cell_length_b 5.755
_cell_length_c 4.750
_cell_angle_alpha 90.00
_cell_angle_beta 90.00
_cell_angle_gamma 90.00
_symmetry_space_group_name_H-M 'P 4/m m m'
_symmetry_Int_Tables_number 123
_symmetry_space_group_name_Hall '-P 4 2'
loop_
_atom_site_label
_atom_site_fract_x
_atom_site_fract_y
_atom_site_fract_z
Sc1 0.000 0.000 0.000
Tl1 0.000 0.500 0.000
Pd1 0.000 0.000 0.500
C1 0.500 0.500 0.500
```

(2)
VASP calculation (GGA-PBE) on Sc2VPdC after structural relaxation.

Its formation energy is -0.460 eV per atom. Its total energy is -38.50 eV/cell. The calculation puts the density of states at the Fermi level at 4.6 states/eV/f.u.

The structure in CIF format:
```
data_Sc2VPdC
_cell_length_a 4.554
_cell_length_b 4.554
_cell_length_c 3.905
_cell_angle_alpha 90.00
_cell_angle_beta 90.00
_cell_angle_gamma 90.00
_symmetry_space_group_name_H-M 'P 4/m m m'
_symmetry_Int_Tables_number 123
_symmetry_space_group_name_Hall '-P 4 2'
loop_
_atom_site_label
_atom_site_fract_x
_atom_site_fract_y
_atom_site_fract_z
Sc1 0.000 0.500 0.000
V1 0.000 0.000 0.500
Pd1 0.500 0.500 0.500
C1 0.000 0.000 0.000
```